The following is a DFT calculation (PBE) of crystalline La2SmCo6 at its relaxed geometry.

## Properties
Energy relative to the elements, eV/f.u.: -0.7

```
La2SmCo6
1.0
6.791 0.000 0.000
-3.396 5.882 0.000
0.000 0.000 4.240
La Sm Co
2 1 6
direct
0.333 0.667 0.000
0.667 0.333 0.000
0.000 0.000 0.000
0.000 0.332 0.500
0.000 0.668 0.500
0.332 0.000 0.500
0.332 0.332 0.500
0.668 0.000 0.500
0.668 0.668 0.500
```

***

The following is a DFT calculation (PBE) of crystalline BaNa2CdBr6 at its relaxed geometry.

## Properties
Energy relative to the elements, uncorrected, eV/atom: -1.497

```
BaNa2CdBr6
1.0
3.786 2.186 6.830
-3.786 2.186 6.830
0.000 -4.372 6.830
Ba Na Cd Br
1 2 1 6
direct
0.000 0.000 0.000
0.292 0.292 0.292
0.801 0.801 0.801
0.491 0.491 0.491
0.097 0.669 0.430
0.226 0.577 0.872
0.430 0.097 0.669
0.577 0.872 0.226
0.669 0.430 0.097
0.872 0.226 0.577
```

***

| no. | volume (A^3/atom) |
| --- | --- |
| 1 | 18.816 |
| 2 | 33.924 |